Computed, not measured: Ba10Cu5Hg5O21 after structural relaxation at the GGA-PBE level of DFT.

Unit cell a=8.6882 b=8.6903 c=10.5027 alpha=99.52 beta=109.32 gamma=90.02
Last column: nearest neighbours and their distance in Å.
Fractional positions:
1 Ba 0.3884 0.4445 0.7211  9 O 2.72-2.93
2 Ba 0.5809 0.0411 0.7046  8 O 2.77-2.89
3 Ba 0.9816 0.2419 0.7046  8 O 2.77-2.89
4 Ba 0.1832 0.8408 0.7046  8 O 2.76-2.89
5 Ba 0.7808 0.6393 0.7018  8 O 2.76-2.90
6 Ba 0.2192 0.3607 0.2982  8 O 2.76-2.90
7 Ba 0.4191 0.9589 0.2954  8 O 2.77-2.89
8 Ba 0.8168 0.1592 0.2954  8 O 2.76-2.89
9 Ba 0.0184 0.7581 0.2954  8 O 2.77-2.89
10 Ba 0.6116 0.5555 0.2789  9 O 2.72-2.93
11 Cu 0.4010 0.6984 0.5000  4 O 1.93-1.96
12 Cu 0.5990 0.3016 0.5000  4 O 1.93-1.96
13 Cu 0.0000 0.5000 0.5000  4 O 1.94
14 Cu 0.2012 0.1019 0.5024  4 O 1.93-1.95
15 Cu 0.7988 0.8981 0.4976  4 O 1.93-1.95
16 Hg 0.2104 0.5968 0.0000  2 O 2.05
17 Hg 0.4027 0.2109 0.9999  2 O 2.05
18 Hg 0.7896 0.4032 0.0000  2 O 2.05
19 Hg 0.0000 0.0000 0.0000  2 O 2.01
20 Hg 0.5973 0.7891 0.0001  2 O 2.05
21 O 0.5191 0.7630 0.7907  1 Hg 2.05
22 O 0.7212 0.3557 0.7905  1 Hg 2.05
23 O 0.1112 0.5606 0.7906  1 Hg 2.05
24 O 0.3135 0.1533 0.7903  1 Hg 2.05
25 O 0.9176 0.9587 0.7938  1 Hg 2.01
26 O 0.2788 0.6443 0.2095  1 Hg 2.05
27 O 0.4809 0.2370 0.2093  1 Hg 2.05
28 O 0.8888 0.4394 0.2094  1 Hg 2.05
29 O 0.0824 0.0413 0.2062  1 Hg 2.01
30 O 0.6865 0.8467 0.2097  1 Hg 2.05
31 O 0.1991 0.6022 0.5004  2 Cu 1.94
32 O 0.4013 0.1969 0.4995  2 Cu 1.94
33 O 0.8009 0.3978 0.4996  2 Cu 1.94
34 O 0.0000 0.0000 0.5000  2 Cu 1.95
35 O 0.5987 0.8031 0.5005  2 Cu 1.94
36 O 0.5000 0.5000 0.5000  2 Cu 1.93
37 O 0.7010 0.1003 0.5005  2 Cu 1.95-1.96
38 O 0.0986 0.2993 0.4998  2 Cu 1.93-1.94
39 O 0.2990 0.8997 0.4995  2 Cu 1.95-1.96
40 O 0.9014 0.7007 0.5002  2 Cu 1.93-1.94
41 O 0.5000 0.5000 0.0000  4 Hg 2.65, 2 Ba 2.72

Values from the calculation:
- Energy relative to the elements, uncorrected: -1.561 eV per atom
- Crystal system: triclinic
- DOS at the Fermi energy: 16.6 states/eV/cell
- Symmetry: P-1
- VASP energy: -5.106 eV per atom



Computed, not measured: Tb7Sm2Er3 after structural relaxation at the GGA-PBE level of DFT.

Unit cell a=5.4551 b=6.1505 c=12.1953 alpha=90.88 beta=90.00 gamma=89.99
Last column: nearest neighbours and their distance in Å.
Fractional positions:
1 Tb 0.5000 0.2365 0.4551  2 Sm 3.11-3.39, 2 Tb 3.12-3.41
2 Tb 0.5000 0.7635 0.5449  2 Sm 3.11-3.39, 2 Tb 3.12-3.41
3 Tb 0.0000 0.4391 0.1780  2 Sm 3.14, 3 Tb 3.44-3.51, 2 Er 3.51
4 Tb 0.0000 0.0000 0.0000  6 Tb 3.44-3.45
5 Tb 0.0000 0.5609 0.8220  2 Sm 3.14, 3 Tb 3.44-3.51, 2 Er 3.51
6 Tb 0.5000 0.9188 0.8307  2 Sm 3.28-3.42, 3 Er 3.33-3.57, 5 Tb 3.45-3.60
7 Tb 0.5000 0.0812 0.1693  2 Sm 3.28-3.42, 3 Er 3.33-3.57, 5 Tb 3.45-3.60
8 Sm 0.5000 0.5968 0.2790  6 Tb 3.11-3.42, 1 Er 3.44
9 Sm 0.5000 0.4032 0.7210  6 Tb 3.11-3.42, 1 Er 3.44
10 Er 0.5000 0.5000 0.0000  6 Tb 3.33-3.51, 2 Sm 3.44
11 Er 0.0000 0.9433 0.3433  8 Tb 3.53-3.85, 2 Sm 3.54, 1 Er 3.87
12 Er 0.0000 0.0567 0.6567  8 Tb 3.53-3.85, 2 Sm 3.54, 1 Er 3.87

Values from the calculation:
- Offset from the most stable computed form: 0.226 eV per atom
- Crystal system: monoclinic
- DOS at the Fermi energy: 19.2 states/eV/cell
- Symmetry: P2/m
- VASP energy: -4.316 eV per atom



Computed, not measured: Pm4ZnS2Cl after structural relaxation at the GGA-PBE level of DFT.

Unit cell a=4.0097 b=7.1517 c=7.1631 alpha=108.19 beta=90.00 gamma=90.00
Last column: nearest neighbours and their distance in Å.
Fractional positions:
1 Pm 0.5000 0.2658 0.2704  3 S 2.79-2.88, 1 Zn 2.93, 2 Cl 3.01
2 Pm 0.5000 0.7342 0.7296  3 S 2.79-2.88, 1 Zn 2.93, 2 Cl 3.01
3 Pm 0.0000 0.2467 0.7371  3 S 2.84-2.85, 2 Zn 2.95, 1 Cl 2.96
4 Pm 0.0000 0.7533 0.2629  3 S 2.84-2.85, 2 Zn 2.95, 1 Cl 2.96
5 Zn 0.5000 0.5000 0.0000  6 Pm 2.93-2.95
6 S 0.5000 0.0000 0.5000  6 Pm 2.85-2.88
7 S 0.0000 0.5000 0.5000  6 Pm 2.79-2.84
8 Cl 0.0000 0.0000 0.0000  6 Pm 2.96-3.01

Values from the calculation:
- Energy relative to the elements, uncorrected: -1.440 eV per atom
- Crystal system: monoclinic
- DOS at the Fermi energy: 4.4 states/eV/cell
- Symmetry: P2/m
- VASP energy: -5.237 eV per atom